! RbPuP2O8, optimized geometry, DFT PBE-GGA; values from VASP
&SYSTEM
  ibrav = 0, nat = 12, ntyp = 4
/
ATOMIC_SPECIES
Rb 85.47 Rb.upf
Pu 244.00 Pu.upf
P 30.97 P.upf
O 16.00 O.upf
CELL_PARAMETERS angstrom
4.4698 -2.7702 0.0000
4.4698 2.7702 0.0000
-0.4393 0.0000 8.6574
ATOMIC_POSITIONS crystal
Rb 0.0000 0.0000 0.0000
Pu 0.0000 0.0000 0.5000
P 0.3589 0.3589 0.7079
P 0.6411 0.6411 0.2921
O 0.2275 0.2275 0.5786
O 0.2292 0.6843 0.6724
O 0.3087 0.3087 0.8696
O 0.3157 0.7708 0.3276
O 0.6843 0.2292 0.6724
O 0.6913 0.6913 0.1304
O 0.7708 0.3157 0.3276
O 0.7725 0.7725 0.4214
! Raw formation energy ... -2.406 eV per atom
! Spin magnetization ... 3.00 μB per formula unit